[1]
# Rb2MnTe4Pd

A geometry-optimized Rb2MnTe4Pd structure (PBE, Alexandria via LeMat-Bulk).

The space group is Fddd (No. 70, origin choice 2) and the conventional cell measures 6.523, 13.648 and 24.856 Å, with angles of 90.00, 90.00 and 90.00 degrees. The asymmetric unit holds Rb at (0.125, 0.125, 0.314), Mn at (0.125, 0.125, 0.625), Te at (0.115, 0.284, 0.809) and Pd at (0.125, 0.125, 0.125).

As for the energy relative to the elements, uncorrected: -0.522 eV/atom. The crystal system is orthorhombic. Its total energy is -4.130 eV/atom.



[2]
# RbMnTe2Pd

A geometry-optimized RbMnTe2Pd structure (PBE, Alexandria via LeMat-Bulk).

The space group is P4/mmm (No. 123) and the conventional cell measures 4.971, 4.971 and 5.834 Å, with angles of 90.00, 90.00 and 90.00 degrees. The asymmetric unit holds Rb at (0.000, 0.000, 0.000), Mn at (0.000, 0.000, 0.500), Te at (0.000, 0.500, 0.500) and Pd at (0.500, 0.500, 0.000).

As for the energy relative to the elements, uncorrected: 0.626 eV/atom. The crystal system is tetragonal. Its total energy is -3.697 eV/atom.